1.
Entry from Alexandria via LeMat-Bulk: a relaxed ThPa2V crystal (PBE).

```
12
Lattice="3.1710 0.0000 0.0000 -1.5855 2.7462 0.0000 0.0000 0.0000 33.2955" Properties=species:S:1:pos:R:3 pbc="T T T"
Th 0.0000 0.0000 0.0000
Th 0.0000 1.8308 22.1970
Th 1.5855 0.9154 11.0985
Pa 0.0000 0.0000 3.1884
Pa 0.0000 0.0000 30.1071
Pa 0.0000 1.8308 19.0086
Pa 0.0000 1.8308 25.3854
Pa 1.5855 0.9154 7.9101
Pa 1.5855 0.9154 14.2869
V 0.0000 0.0000 16.6478
V 0.0000 1.8308 5.5493
V 1.5855 0.9154 27.7462
```

Summary:
ΔE to the lowest computed polymorph = 0.264 eV/atom
symmetry = R-3m (166)
DFT formation energy = 10.7 kcal/mol of atoms

=====

2.
Entry from Alexandria via LeMat-Bulk: a relaxed ThPa2W crystal (PBE).

```
12
Lattice="4.8412 0.0000 0.0000 -2.4206 4.1926 0.0000 0.0000 0.0000 14.3534" Properties=species:S:1:pos:R:3 pbc="T T T"
Th 0.0000 0.0000 0.0000
Th 0.0000 2.7951 9.5689
Th 2.4206 1.3975 4.7845
Pa 0.0000 0.0000 3.4495
Pa 0.0000 0.0000 10.9039
Pa 0.0000 2.7951 6.1195
Pa 0.0000 2.7951 13.0184
Pa 2.4206 1.3975 1.3350
Pa 2.4206 1.3975 8.2340
W 0.0000 0.0000 7.1767
W 0.0000 2.7951 2.3922
W 2.4206 1.3975 11.9612
```

Summary:
symmetry = R-3m (166)
DFT formation energy = 10.5 kcal/mol of atoms

=====

3.
Entry from Alexandria via LeMat-Bulk: a relaxed YThPa4 crystal (PBE).

```
6
Lattice="0.0000 4.3413 4.3413 4.3413 0.0000 4.3413 4.3413 4.3413 0.0000" Properties=species:S:1:pos:R:3 pbc="T T T"
Y 0.0000 0.0000 0.0000
Th 2.1707 2.1707 2.1707
Pa 5.4247 3.2579 3.2579
Pa 3.2579 5.4247 3.2579
Pa 3.2579 3.2579 5.4247
Pa 5.4247 5.4247 5.4247
```

Summary:
symmetry = F-43m (216)
DFT formation energy = 3.8 kcal/mol of atoms

=====

4.
Entry from Alexandria via LeMat-Bulk: a relaxed Y2ThPa crystal (PBE).

```
12
Lattice="3.3804 0.0000 0.0000 -1.6902 2.9275 0.0000 0.0000 0.0000 36.7073" Properties=species:S:1:pos:R:3 pbc="T T T"
Y 0.0000 0.0000 3.2365
Y 0.0000 0.0000 33.4708
Y 0.0000 1.9517 21.2350
Y 0.0000 1.9517 27.7080
Y 1.6902 0.9758 8.9993
Y 1.6902 0.9758 15.4722
Th 0.0000 0.0000 18.3536
Th 0.0000 1.9517 6.1179
Th 1.6902 0.9758 30.5894
Pa 0.0000 0.0000 0.0000
Pa 0.0000 1.9517 24.4715
Pa 1.6902 0.9758 12.2357
```

Summary:
symmetry = R-3m (166)
DFT formation energy = 7.3 kcal/mol of atoms

=====

5.
Entry from Alexandria via LeMat-Bulk: a relaxed Th5Pa3Zn12 crystal (PBE).

```
80
Lattice="-8.3051 8.3051 8.3051 8.3051 -8.3051 8.3051 8.3051 8.3051 -8.3051" Properties=species:S:1:pos:R:3 pbc="T T T"
Th 0.0000 0.0000 0.0000
Th 4.1525 4.1525 -4.1525
Th 4.1525 -4.1525 4.1525
Th 8.3051 0.0000 0.0000
Th 12.4576 2.0763 0.0000
Th 8.3051 -4.1525 6.2288
Th 6.2288 8.3051 -4.1525
Th 6.2288 0.0000 4.1525
Th 4.1525 6.2288 0.0000
Th 8.3051 4.1525 2.0763
Th -4.1525 4.1525 4.1525
Th 0.0000 8.3051 0.0000
Th 0.0000 0.0000 8.3051
Th 4.1525 4.1525 4.1525
Th 0.0000 4.1525 6.2288
Th 4.1525 2.0763 8.3051
Th 2.0763 8.3051 4.1525
Th 2.0763 0.0000 12.4576
Th 0.0000 12.4576 2.0763
Th -4.1525 6.2288 8.3051
Pa 4.1525 2.0763 0.0000
Pa 8.3051 4.1525 -2.0763
Pa 2.0763 0.0000 4.1525
Pa 10.3814 0.0000 4.1525
Pa 0.0000 4.1525 2.0763
Pa 4.1525 -2.0763 8.3051
Pa 4.1525 10.3814 0.0000
Pa 8.3051 4.1525 6.2288
Pa -2.0763 8.3051 4.1525
Pa 6.2288 8.3051 4.1525
Pa 0.0000 4.1525 10.3814
Pa 4.1525 6.2288 8.3051
Zn 8.3422 -1.3177 2.5617
Zn 12.4205 -1.5908 2.8348
Zn 10.8668 -0.0371 1.3177
Zn 9.8959 -2.8348 4.1154
Zn 2.5617 0.0371 1.3177
Zn 9.8959 5.4703 -4.1154
Zn 5.4703 4.1154 -1.5908
Zn 6.9874 2.5617 -0.0371
Zn 1.3177 2.5617 0.0371
Zn 11.1399 4.1897 -1.5908
Zn 0.0371 1.3177 2.5617
Zn 4.1154 -1.5908 5.4703
Zn 8.3422 6.9874 -2.5617
Zn 4.1154 1.5908 2.8348
Zn 2.8348 4.1154 1.5908
Zn 9.6228 5.7434 -0.0371
Zn 6.9874 -2.5617 8.3422
Zn 5.4703 -4.1154 9.8959
Zn 1.5908 2.8348 4.1154
Zn 2.5617 -0.0371 6.9874
Zn 2.5617 8.3422 -1.3177
Zn 9.8959 2.8348 4.1897
Zn 4.1154 9.8959 -2.8348
Zn 8.3422 1.3177 5.7434
Zn -0.0371 6.9874 2.5617
Zn 4.1897 -1.5908 11.1399
Zn -1.5908 5.4703 4.1154
Zn 5.7434 -0.0371 9.6228
Zn 5.7434 8.3422 1.3177
Zn 6.7143 5.4703 4.1897
Zn 2.8348 12.4205 -1.5908
Zn 1.3177 10.8668 -0.0371
Zn -1.3177 2.5617 8.3422
Zn 5.4703 4.1897 6.7143
Zn 4.1897 6.7143 5.4703
Zn -0.0371 1.3177 10.8668
Zn 4.1897 9.8959 2.8348
Zn 8.2680 6.9874 5.7434
Zn -2.8348 4.1154 9.8959
Zn 6.9874 5.7434 8.2680
Zn 1.3177 5.7434 8.3422
Zn 2.8348 4.1897 9.8959
Zn -1.5908 2.8348 12.4205
Zn 5.7434 8.2680 6.9874
Zn -1.5908 11.1399 4.1897
Zn -2.5617 8.3422 6.9874
Zn -4.1154 9.8959 5.4703
Zn -0.0371 9.6228 5.7434
```

Summary:
symmetry = Ia-3d (230)
DFT formation energy = 13.7 kcal/mol of atoms

=====

6.
Entry from Alexandria via LeMat-Bulk: a relaxed ThPaZn4 crystal (PBE).

```
6
Lattice="3.3420 0.0000 0.0000 0.0000 4.5900 0.0000 0.0000 0.0000 7.9854" Properties=species:S:1:pos:R:3 pbc="T T T"
Th 0.0000 0.0000 0.0000
Pa 0.0000 2.2950 3.9927
Zn 1.6710 0.0000 2.7037
Zn 1.6710 0.0000 5.2818
Zn 1.6710 2.2950 1.3802
Zn 1.6710 2.2950 6.6053
```

Summary:
ΔE to the lowest computed polymorph = 0.000 eV/atom
symmetry = Pmmm (47)
DFT formation energy = -3.8 kcal/mol of atoms

=====

7.
Entry from Alexandria via LeMat-Bulk: a relaxed ThPa2Zn crystal (PBE).

```
4
Lattice="4.4566 0.0000 0.0000 0.0000 4.4566 0.0000 0.0000 0.0000 4.9575" Properties=species:S:1:pos:R:3 pbc="T T T"
Th 0.0000 0.0000 0.0000
Pa 0.0000 2.2283 2.4787
Pa 2.2283 0.0000 2.4787
Zn 2.2283 2.2283 0.0000
```

Summary:
ΔE to the lowest computed polymorph = 0.000 eV/atom
symmetry = P4/mmm (123)
DFT formation energy = 2.6 kcal/mol of atoms

=====

8.
Entry from Alexandria via LeMat-Bulk: a relaxed ThPaZn crystal (PBE).

```
3
Lattice="5.1185 0.0000 0.0000 -2.5593 4.4328 0.0000 0.0000 0.0000 3.2145" Properties=species:S:1:pos:R:3 pbc="T T T"
Th 0.0000 0.0000 0.0000
Pa 0.0000 2.9552 1.8360
Zn 2.5593 1.4776 0.9663
```

Summary:
ΔE to the lowest computed polymorph = 0.162 eV/atom
symmetry = P3m1 (156)
DFT formation energy = 4.7 kcal/mol of atoms

=====

| no. | calculated total energy (eV/atom) |
| --- | --- |
| 1 | -8.4185 |
| 2 | -9.3839 |
| 3 | -8.4789 |
| 4 | -7.1456 |
| 5 | -3.4491 |
| 6 | -3.8317 |
| 7 | -6.8071 |
| 8 | -5.8580 |